# 1
Crystalline BaFeCo at its relaxed geometry. Source: Alexandria, functional PBE.

Values from the calculation:
SG: No. 216
V: 24.755 Å³/atom
Formation energy: 996 meV per atom
Offset from the most stable computed form: 498 meV/atom

a = 4.7181 Å, b = 4.7181 Å, c = 4.7181 Å
α = 60.00°, β = 60.00°, γ = 60.00°
Fractional coordinates of all 3 atoms:
Ba: 0.0000 0.0000 0.0000
Fe: 0.5000 0.5000 0.5000
Co: 0.7500 0.7500 0.7500

# 2
Crystalline BaFeCo2 at its relaxed geometry. Source: Alexandria, functional PBE.

Values from the calculation:
SG: No. 47
V: 17.590 Å³/atom
Formation energy: 1118 meV per atom
Offset from the most stable computed form: 857 meV/atom

a = 3.3887 Å, b = 4.3705 Å, c = 4.7507 Å
α = 90.00°, β = 90.00°, γ = 90.00°
Fractional coordinates of all 4 atoms:
Ba: 0.0000 0.0000 0.0000
Fe: 0.5000 0.0000 0.5000
Co: 0.0000 0.5000 0.5000
Co: 0.5000 0.5000 0.0000

# 3
Crystalline BaFeCo at its relaxed geometry. Source: Alexandria, functional PBE.

Values from the calculation:
SG: No. 216
V: 29.527 Å³/atom
Formation energy: 1755 meV per atom
Offset from the most stable computed form: 1257 meV/atom

a = 5.0036 Å, b = 5.0036 Å, c = 5.0036 Å
α = 60.00°, β = 60.00°, γ = 60.00°
Fractional coordinates of all 3 atoms:
Ba: 0.0000 0.0000 0.0000
Fe: 0.7500 0.7500 0.7500
Co: 0.2500 0.2500 0.2500

# 4
Crystalline Ba2FeCo at its relaxed geometry. Source: Alexandria, functional PBE.

Values from the calculation:
SG: No. 119
V: 28.249 Å³/atom
Formation energy: 941 meV per atom
Offset from the most stable computed form: 511 meV/atom

a = 6.2972 Å, b = 6.2972 Å, c = 6.2972 Å
α = 137.42°, β = 137.42°, γ = 61.79°
Fractional coordinates of all 4 atoms:
Ba: 0.0000 0.0000 0.0000
Ba: 0.7500 0.2500 0.5000
Fe: 0.5000 0.5000 0.0000
Co: 0.2500 0.7500 0.5000

# 5
Crystalline BaFeCo2 at its relaxed geometry. Source: Alexandria, functional PBE.

Values from the calculation:
SG: No. 119
V: 17.884 Å³/atom
Formation energy: 1077 meV per atom
Offset from the most stable computed form: 816 meV/atom

a = 5.3940 Å, b = 5.3940 Å, c = 5.3940 Å
α = 137.22°, β = 137.22°, γ = 62.10°
Fractional coordinates of all 4 atoms:
Ba: 0.0000 0.0000 0.0000
Fe: 0.7500 0.2500 0.5000
Co: 0.2500 0.7500 0.5000
Co: 0.5000 0.5000 0.0000

# 6
Crystalline Ba2FeCo at its relaxed geometry. Source: Alexandria, functional PBE.

Values from the calculation:
SG: No. 99
V: 28.621 Å³/atom
Formation energy: 500 meV per atom
Offset from the most stable computed form: 70 meV/atom

a = 3.4952 Å, b = 3.4952 Å, c = 9.3715 Å
α = 90.00°, β = 90.00°, γ = 90.00°
Fractional coordinates of all 4 atoms:
Ba: 0.0000 0.0000 0.0000
Ba: 0.5000 0.5000 0.4251
Fe: 0.5000 0.5000 0.7414
Co: 0.0000 0.0000 0.6883